## Li2GeSb (PBE)

Data for crystalline Li2GeSb at its relaxed geometry. Values from VASP.

The structure in Quantum ESPRESSO input format:
```
&SYSTEM
  ibrav = 0, nat = 4, ntyp = 3
/
ATOMIC_SPECIES
Sb 121.76 Sb.upf
Ge 72.64 Ge.upf
Li 6.94 Li.upf
CELL_PARAMETERS angstrom
4.615 0.139 1.050
1.478 -1.190 4.338
2.400 -4.028 0.662
ATOMIC_POSITIONS crystal
Sb 0.500 0.500 0.500
Ge 0.000 0.000 0.000
Li 0.250 0.250 0.250
Li 0.750 0.750 0.750
```

Calculated values
* total moment: 0.00 μB/f.u.
* formation energy from raw total energies: -0.2904 eV/atom
* energy above the lowest structure with this stoichiometry: 47 meV/atom

***

## LiGe2Sb2 (PBE)

Data for crystalline LiGe2Sb2 at its relaxed geometry. Values from VASP.

The structure in Quantum ESPRESSO input format:
```
&SYSTEM
  ibrav = 0, nat = 5, ntyp = 3
/
ATOMIC_SPECIES
Sb 121.76 Sb.upf
Ge 72.64 Ge.upf
Li 6.94 Li.upf
CELL_PARAMETERS angstrom
5.490 0.000 0.000
0.000 5.490 0.000
2.745 2.745 4.066
ATOMIC_POSITIONS crystal
Sb 0.750 0.250 0.500
Sb 0.250 0.750 0.500
Ge 0.344 0.344 0.312
Ge 0.656 0.656 0.688
Li 0.000 0.000 0.000
```

Calculated values
* total moment: 0.00 μB/f.u.
* formation energy from raw total energies: 0.0378 eV/atom
* energy above the lowest structure with this stoichiometry: 0 meV/atom

***

## Li5Ge2Sb5 (PBE)

Data for crystalline Li5Ge2Sb5 at its relaxed geometry. Values from VASP.

The structure in Quantum ESPRESSO input format:
```
&SYSTEM
  ibrav = 0, nat = 12, ntyp = 3
/
ATOMIC_SPECIES
Li 6.94 Li.upf
Ge 72.64 Ge.upf
Sb 121.76 Sb.upf
CELL_PARAMETERS angstrom
-0.638 3.230 1.087
-3.528 -4.255 5.041
11.913 1.240 3.308
ATOMIC_POSITIONS crystal
Li 0.500 0.000 0.500
Li 0.670 0.340 0.033
Li 0.762 0.524 0.356
Li 0.238 0.476 0.644
Li 0.330 0.660 0.967
Ge 0.033 0.066 0.791
Ge 0.967 0.934 0.209
Sb 0.119 0.238 0.403
Sb 0.681 0.362 0.801
Sb 0.319 0.638 0.199
Sb 0.881 0.762 0.597
Sb 0.000 0.000 0.000
```

Calculated values
* total moment: 0.00 μB/f.u.
* formation energy from raw total energies: -0.2116 eV/atom

***

## Li2TaGeSb (PBE)

Data for crystalline Li2TaGeSb at its relaxed geometry. Values from VASP.

The structure in Quantum ESPRESSO input format:
```
&SYSTEM
  ibrav = 0, nat = 5, ntyp = 4
/
ATOMIC_SPECIES
Sb 121.76 Sb.upf
Ge 72.64 Ge.upf
Li 6.94 Li.upf
Ta 180.95 Ta.upf
CELL_PARAMETERS angstrom
-2.854 -3.004 -2.923
-2.351 -1.694 4.036
-3.437 3.701 -0.448
ATOMIC_POSITIONS crystal
Sb 0.500 0.500 0.500
Ge 0.000 0.500 0.000
Li 0.000 0.000 0.500
Li 0.500 0.000 0.000
Ta 0.000 0.000 0.000
```

Calculated values
* total moment: 2.00 μB/f.u.
* formation energy from raw total energies: 1.0004 eV/atom

***

## LiGeSb2Te (PBE)

Data for crystalline LiGeSb2Te at its relaxed geometry. Values from VASP.

The structure in Quantum ESPRESSO input format:
```
&SYSTEM
  ibrav = 0, nat = 5, ntyp = 4
/
ATOMIC_SPECIES
Sb 121.76 Sb.upf
Ge 72.64 Ge.upf
Te 127.60 Te.upf
Li 6.94 Li.upf
CELL_PARAMETERS angstrom
5.419 0.000 0.000
0.000 5.419 0.000
0.000 0.000 5.507
ATOMIC_POSITIONS crystal
Sb 0.000 0.500 0.000
Sb 0.500 0.000 0.000
Ge 0.000 0.000 0.000
Te 0.000 0.000 0.500
Li 0.500 0.500 0.500
```

Calculated values
* total moment: 0.00 μB/f.u.
* formation energy from raw total energies: 0.3815 eV/atom
* energy above the lowest structure with this stoichiometry: 0 meV/atom

***

## LiTiGeSb2 (PBE)

Data for crystalline LiTiGeSb2 at its relaxed geometry. Values from VASP.

The structure in Quantum ESPRESSO input format:
```
&SYSTEM
  ibrav = 0, nat = 5, ntyp = 4
/
ATOMIC_SPECIES
Sb 121.76 Sb.upf
Ge 72.64 Ge.upf
Li 6.94 Li.upf
Ti 47.87 Ti.upf
CELL_PARAMETERS angstrom
5.443 0.000 0.000
0.000 4.796 0.000
0.000 0.000 5.443
ATOMIC_POSITIONS crystal
Sb 0.000 0.000 0.500
Sb 0.500 0.000 0.000
Ge 0.000 0.000 0.000
Li 0.500 0.500 0.500
Ti 0.000 0.500 0.000
```

Calculated values
* total moment: 0.00 μB/f.u.
* formation energy from raw total energies: 0.4831 eV/atom

***

## Li2ScGe2 (PBE)

Data for crystalline Li2ScGe2 at its relaxed geometry. Values from VASP.

The structure in Quantum ESPRESSO input format:
```
&SYSTEM
  ibrav = 0, nat = 10, ntyp = 3
/
ATOMIC_SPECIES
Sc 44.96 Sc.upf
Ge 72.64 Ge.upf
Li 6.94 Li.upf
CELL_PARAMETERS angstrom
7.591 0.000 0.000
0.000 7.591 0.000
0.000 0.000 2.842
ATOMIC_POSITIONS crystal
Sc 0.000 0.000 0.000
Sc 0.500 0.500 0.000
Ge 0.182 0.682 0.500
Ge 0.682 0.818 0.500
Ge 0.818 0.318 0.500
Ge 0.318 0.182 0.500
Li 0.387 0.887 0.000
Li 0.887 0.613 0.000
Li 0.613 0.113 0.000
Li 0.113 0.387 0.000
```

Calculated values
* total moment: 0.49 μB/f.u.
* energy above the lowest structure with this stoichiometry: 101 meV/atom
* formation energy: -0.387 eV/atom

***

## LiScGe2 (PBE)

Data for crystalline LiScGe2 at its relaxed geometry. Values from VASP.

The structure in Quantum ESPRESSO input format:
```
&SYSTEM
  ibrav = 0, nat = 8, ntyp = 3
/
ATOMIC_SPECIES
Sc 44.96 Sc.upf
Ge 72.64 Ge.upf
Li 6.94 Li.upf
CELL_PARAMETERS angstrom
-4.146 -1.043 -0.968
1.421 -2.895 -2.969
-1.232 -8.007 3.981
ATOMIC_POSITIONS crystal
Sc 0.000 0.000 0.000
Sc 0.750 0.250 0.500
Ge 0.554 0.125 0.250
Ge 0.196 0.625 0.250
Ge 0.375 0.446 0.750
Ge 0.875 0.804 0.750
Li 0.500 0.500 0.000
Li 0.250 0.750 0.500
```

Calculated values
* total moment: 0.00 μB/f.u.
* energy above the lowest structure with this stoichiometry: 354 meV/atom
* formation energy: -0.182 eV/atom

***

## LiScGe3 (PBE)

Data for crystalline LiScGe3 at its relaxed geometry. Values from VASP.

The structure in Quantum ESPRESSO input format:
```
&SYSTEM
  ibrav = 0, nat = 5, ntyp = 3
/
ATOMIC_SPECIES
Sc 44.96 Sc.upf
Ge 72.64 Ge.upf
Li 6.94 Li.upf
CELL_PARAMETERS angstrom
5.137 0.000 0.000
0.000 5.137 0.000
0.000 0.000 5.137
ATOMIC_POSITIONS crystal
Sc 0.000 0.000 0.000
Ge 0.000 0.500 0.000
Ge 0.000 0.000 0.500
Ge 0.500 0.000 0.000
Li 0.500 0.500 0.500
```

Calculated values
* total moment: 0.00 μB/f.u.
* energy above the lowest structure with this stoichiometry: 654 meV/atom
* formation energy: 0.302 eV/atom

***

## Li2ScGe2 (PBE)

Data for crystalline Li2ScGe2 at its relaxed geometry. Values from VASP.

The structure in Quantum ESPRESSO input format:
```
&SYSTEM
  ibrav = 0, nat = 5, ntyp = 3
/
ATOMIC_SPECIES
Sc 44.96 Sc.upf
Ge 72.64 Ge.upf
Li 6.94 Li.upf
CELL_PARAMETERS angstrom
3.850 0.000 0.000
0.000 3.850 0.000
1.925 1.925 5.810
ATOMIC_POSITIONS crystal
Sc 0.000 0.000 0.000
Ge 0.396 0.396 0.208
Ge 0.604 0.604 0.792
Li 0.750 0.250 0.500
Li 0.250 0.750 0.500
```

Calculated values
* total moment: 0.00 μB/f.u.
* energy above the lowest structure with this stoichiometry: 0 meV/atom
* formation energy: -0.488 eV/atom

***

## LiScGe2 (PBE)

Data for crystalline LiScGe2 at its relaxed geometry. Values from VASP.

The structure in Quantum ESPRESSO input format:
```
&SYSTEM
  ibrav = 0, nat = 4, ntyp = 3
/
ATOMIC_SPECIES
Sc 44.96 Sc.upf
Ge 72.64 Ge.upf
Li 6.94 Li.upf
CELL_PARAMETERS angstrom
-1.137 -3.592 -1.249
1.834 0.695 -3.668
3.538 -1.628 1.461
ATOMIC_POSITIONS crystal
Sc 0.500 0.500 0.500
Ge 0.000 0.000 0.500
Ge 0.000 0.500 0.000
Li 0.500 0.000 0.000
```

Calculated values
* total moment: 0.00 μB/f.u.
* energy above the lowest structure with this stoichiometry: 0 meV/atom
* formation energy: -0.536 eV/atom

***

## Li2Sc2Ge3 (PBE)

Data for crystalline Li2Sc2Ge3 at its relaxed geometry. Values from VASP.

The structure in Quantum ESPRESSO input format:
```
&SYSTEM
  ibrav = 0, nat = 14, ntyp = 3
/
ATOMIC_SPECIES
Li 6.94 Li.upf
Sc 44.96 Sc.upf
Ge 72.64 Ge.upf
CELL_PARAMETERS angstrom
3.996 0.000 -0.953
0.000 6.652 0.000
0.054 0.000 9.084
ATOMIC_POSITIONS crystal
Li 0.694 0.940 0.389
Li 0.306 0.060 0.611
Li 0.306 0.440 0.611
Li 0.694 0.560 0.389
Sc 0.154 0.250 0.308
Sc 0.846 0.750 0.692
Sc 0.945 0.250 0.891
Sc 0.055 0.750 0.109
Ge 0.223 0.750 0.447
Ge 0.777 0.250 0.553
Ge 0.566 0.441 0.131
Ge 0.434 0.559 0.869
Ge 0.434 0.941 0.869
Ge 0.566 0.059 0.131
```

Calculated values
* total moment: 0.00 μB/f.u.
* formation energy: -0.554 eV/atom

***

## LiScGe2 (PBE)

Data for crystalline LiScGe2 at its relaxed geometry. Values from VASP.

The structure in Quantum ESPRESSO input format:
```
&SYSTEM
  ibrav = 0, nat = 4, ntyp = 3
/
ATOMIC_SPECIES
Sc 44.96 Sc.upf
Ge 72.64 Ge.upf
Li 6.94 Li.upf
CELL_PARAMETERS angstrom
-4.005 0.975 0.735
-2.345 -2.475 2.430
-0.834 1.952 4.790
ATOMIC_POSITIONS crystal
Sc 0.000 0.000 0.000
Ge 0.771 0.771 0.686
Ge 0.229 0.229 0.314
Li 0.500 0.500 0.500
```

Calculated values
* total moment: 0.00 μB/f.u.
* energy above the lowest structure with this stoichiometry: 135 meV/atom
* formation energy: -0.401 eV/atom

***

## LiScGe3 (PBE)

Data for crystalline LiScGe3 at its relaxed geometry. Values from VASP.

The structure in Quantum ESPRESSO input format:
```
&SYSTEM
  ibrav = 0, nat = 5, ntyp = 3
/
ATOMIC_SPECIES
Sc 44.96 Sc.upf
Ge 72.64 Ge.upf
Li 6.94 Li.upf
CELL_PARAMETERS angstrom
-3.858 -2.248 0.897
-0.205 -1.380 -4.335
2.412 -3.713 1.068
ATOMIC_POSITIONS crystal
Sc 0.500 0.500 0.500
Ge 0.000 0.500 0.000
Ge 0.000 0.000 0.500
Ge 0.500 0.000 0.000
Li 0.000 0.000 0.000
```

Calculated values
* total moment: 0.00 μB/f.u.
* energy above the lowest structure with this stoichiometry: 480 meV/atom
* formation energy: 0.127 eV/atom

***

## LiScGe3 (PBE)

Data for crystalline LiScGe3 at its relaxed geometry. Values from VASP.

The structure in Quantum ESPRESSO input format:
```
&SYSTEM
  ibrav = 0, nat = 20, ntyp = 3
/
ATOMIC_SPECIES
Li 6.94 Li.upf
Sc 44.96 Sc.upf
Ge 72.64 Ge.upf
CELL_PARAMETERS angstrom
-0.450 0.532 -5.403
1.267 -5.350 -0.633
-11.626 -2.835 0.689
ATOMIC_POSITIONS crystal
Li 0.250 0.500 0.099
Li 0.750 0.000 0.901
Li 0.750 0.500 0.901
Li 0.250 0.000 0.099
Sc 0.508 0.250 0.683
Sc 0.492 0.750 0.317
Sc 0.008 0.250 0.317
Sc 0.992 0.750 0.683
Ge 0.250 0.000 0.504
Ge 0.750 0.500 0.496
Ge 0.750 0.000 0.496
Ge 0.250 0.500 0.504
Ge 0.208 0.750 0.900
Ge 0.792 0.250 0.100
Ge 0.708 0.750 0.100
Ge 0.292 0.250 0.900
Ge 0.502 0.750 0.728
Ge 0.498 0.250 0.272
Ge 0.002 0.750 0.272
Ge 0.998 0.250 0.728
```

Calculated values
* total moment: 0.00 μB/f.u.
* energy above the lowest structure with this stoichiometry: 0 meV/atom
* formation energy: -0.353 eV/atom

***

## LiSc2Ge (PBE)

Data for crystalline LiSc2Ge at its relaxed geometry. Values from VASP.

The structure in Quantum ESPRESSO input format:
```
&SYSTEM
  ibrav = 0, nat = 4, ntyp = 3
/
ATOMIC_SPECIES
Sc 44.96 Sc.upf
Ge 72.64 Ge.upf
Li 6.94 Li.upf
CELL_PARAMETERS angstrom
-1.004 -3.037 2.122
3.315 -2.349 -1.794
2.718 1.363 3.237
ATOMIC_POSITIONS crystal
Sc 0.000 0.000 0.500
Sc 0.000 0.500 0.000
Ge 0.500 0.000 0.000
Li 0.500 0.500 0.500
```

Calculated values
* total moment: 0.56 μB/f.u.
* formation energy: -0.441 eV/atom

***

## LiScGe2 (PBE)

Data for crystalline LiScGe2 at its relaxed geometry. Values from VASP.

The structure in Quantum ESPRESSO input format:
```
&SYSTEM
  ibrav = 0, nat = 4, ntyp = 3
/
ATOMIC_SPECIES
Sc 44.96 Sc.upf
Ge 72.64 Ge.upf
Li 6.94 Li.upf
CELL_PARAMETERS angstrom
-4.280 -1.414 1.232
-2.859 2.914 2.274
-3.753 1.753 -2.163
ATOMIC_POSITIONS crystal
Sc 0.500 0.500 0.500
Ge 0.250 0.250 0.250
Ge 0.750 0.750 0.750
Li 0.000 0.000 0.000
```

Calculated values
* total moment: 0.00 μB/f.u.
* energy above the lowest structure with this stoichiometry: 151 meV/atom
* formation energy: -0.384 eV/atom

***

## Li2ScGe2 (PBE)

Data for crystalline Li2ScGe2 at its relaxed geometry. Values from VASP.

The structure in Quantum ESPRESSO input format:
```
&SYSTEM
  ibrav = 0, nat = 10, ntyp = 3
/
ATOMIC_SPECIES
Sc 44.96 Sc.upf
Ge 72.64 Ge.upf
Li 6.94 Li.upf
CELL_PARAMETERS angstrom
-3.542 0.796 6.303
-6.195 -2.032 -3.225
0.655 -3.226 0.775
ATOMIC_POSITIONS crystal
Sc 0.000 0.000 0.000
Sc 0.500 0.500 0.000
Ge 0.373 0.873 0.000
Ge 0.873 0.627 0.000
Ge 0.627 0.127 0.000
Ge 0.127 0.373 0.000
Li 0.170 0.670 0.500
Li 0.670 0.830 0.500
Li 0.830 0.330 0.500
Li 0.330 0.170 0.500
```

Calculated values
* total moment: 0.00 μB/f.u.
* energy above the lowest structure with this stoichiometry: 183 meV/atom
* formation energy: -0.305 eV/atom

***

## LiSc2Ge (PBE)

Data for crystalline LiSc2Ge at its relaxed geometry. Values from VASP.

The structure in Quantum ESPRESSO input format:
```
&SYSTEM
  ibrav = 0, nat = 4, ntyp = 3
/
ATOMIC_SPECIES
Sc 44.96 Sc.upf
Ge 72.64 Ge.upf
Li 6.94 Li.upf
CELL_PARAMETERS angstrom
-4.502 1.107 9.705
-3.969 -2.010 9.792
-1.681 0.009 10.624
ATOMIC_POSITIONS crystal
Sc 0.914 0.914 0.914
Sc 0.086 0.086 0.086
Ge 0.000 0.000 0.000
Li 0.500 0.500 0.500
```

Calculated values
* total moment: 0.33 μB/f.u.
* formation energy: 0.239 eV/atom

***

## LiSc2Ge (PBE)

Data for crystalline LiSc2Ge at its relaxed geometry. Values from VASP.

The structure in Quantum ESPRESSO input format:
```
&SYSTEM
  ibrav = 0, nat = 4, ntyp = 3
/
ATOMIC_SPECIES
Sc 44.96 Sc.upf
Ge 72.64 Ge.upf
Li 6.94 Li.upf
CELL_PARAMETERS angstrom
4.819 -5.232 7.249
4.253 -7.678 5.110
6.901 -5.747 4.743
ATOMIC_POSITIONS crystal
Sc 0.901 0.901 0.901
Sc 0.099 0.099 0.099
Ge 0.500 0.500 0.500
Li 0.000 0.000 0.000
```

Calculated values
* total moment: 0.00 μB/f.u.
* formation energy: -0.026 eV/atom